(1)
Entry from the Alexandria database: a relaxed RbH2SNO3 crystal (GGA-PBEsol).

Geometry as POSCAR:
```
RbH2SNO3
1.0
-3.500 -5.846 -2.556
6.763 -3.091 -2.190
1.264 -6.428 12.973
Rb H O N S
8 16 24 8 8
Direct
0.368 0.144 0.083
0.868 0.356 0.917
0.868 0.144 0.417
0.368 0.356 0.583
0.632 0.644 0.417
0.132 0.644 0.083
0.632 0.856 0.917
0.132 0.856 0.583
0.587 0.108 0.696
0.420 0.963 0.728
0.413 0.608 0.804
0.087 0.392 0.304
0.920 0.537 0.272
0.580 0.037 0.272
0.913 0.608 0.696
0.587 0.392 0.196
0.413 0.892 0.304
0.580 0.463 0.772
0.920 0.963 0.772
0.080 0.463 0.728
0.080 0.037 0.228
0.087 0.108 0.804
0.420 0.537 0.228
0.913 0.892 0.196
0.239 0.204 0.290
0.739 0.204 0.210
0.497 0.792 0.117
0.225 0.910 0.945
0.275 0.090 0.445
0.775 0.090 0.055
0.761 0.704 0.210
0.239 0.296 0.790
0.497 0.708 0.617
0.225 0.590 0.445
0.997 0.792 0.383
0.261 0.704 0.290
0.503 0.292 0.383
0.775 0.410 0.555
0.275 0.410 0.945
0.739 0.296 0.710
0.261 0.796 0.790
0.503 0.208 0.883
0.725 0.590 0.055
0.761 0.796 0.710
0.003 0.292 0.117
0.725 0.910 0.555
0.003 0.208 0.617
0.997 0.708 0.883
0.997 0.507 0.675
0.997 0.993 0.175
0.497 0.993 0.325
0.003 0.493 0.325
0.003 0.007 0.825
0.503 0.007 0.675
0.503 0.493 0.175
0.497 0.507 0.825
0.871 0.346 0.637
0.629 0.654 0.137
0.871 0.154 0.137
0.129 0.654 0.363
0.371 0.346 0.863
0.371 0.154 0.363
0.629 0.846 0.637
0.129 0.846 0.863
```

Properties
**Total DFT energy (no corrections)**: -5.742 eV/atom
**Space-group type**: Pbca

=====

(2)
Entry from the Alexandria database: a relaxed RbH4SNO4 crystal (GGA-PBEsol).

Geometry as POSCAR:
```
RbH4SNO4
1.0
6.411 0.000 0.000
0.000 7.579 0.000
0.000 0.000 10.751
H Rb O S N
16 4 16 4 4
Direct
0.750 0.980 0.152
0.250 0.875 0.720
0.250 0.520 0.652
0.750 0.480 0.348
0.382 0.821 0.851
0.618 0.679 0.351
0.750 0.125 0.280
0.750 0.625 0.220
0.882 0.179 0.149
0.618 0.179 0.149
0.250 0.020 0.848
0.882 0.679 0.351
0.250 0.375 0.780
0.118 0.821 0.851
0.382 0.321 0.649
0.118 0.321 0.649
0.250 0.178 0.377
0.250 0.678 0.123
0.750 0.322 0.877
0.750 0.822 0.623
0.750 0.773 0.089
0.439 0.825 0.406
0.061 0.825 0.406
0.250 0.048 0.100
0.750 0.273 0.411
0.750 0.952 0.900
0.939 0.675 0.906
0.250 0.727 0.589
0.561 0.675 0.906
0.561 0.175 0.594
0.439 0.325 0.094
0.750 0.452 0.600
0.939 0.175 0.594
0.061 0.325 0.094
0.250 0.548 0.400
0.250 0.227 0.911
0.250 0.229 0.050
0.250 0.729 0.450
0.750 0.771 0.950
0.750 0.271 0.550
0.250 0.388 0.683
0.750 0.112 0.183
0.250 0.888 0.817
0.750 0.612 0.317
```

Properties
**Total DFT energy (no corrections)**: -5.605 eV/atom
**Space-group type**: Pnma

=====

(3)
Entry from the Alexandria database: a relaxed ReHN2O crystal (GGA-PBEsol).

Geometry as POSCAR:
```
ReHN2O
1.0
-0.110 2.143 3.111
-3.198 1.716 -1.295
-2.147 -2.670 1.764
Re N O H
1 2 1 1
Direct
0.000 0.000 0.000
0.000 0.000 0.500
0.000 0.500 0.000
0.500 0.000 0.000
0.500 0.500 0.500
```

Properties
**Total DFT energy (no corrections)**: -7.244 eV/atom
**Space-group type**: P4/mmm

=====

(4)
Entry from the Alexandria database: a relaxed ReH4NO4 crystal (GGA-PBEsol).

Geometry as POSCAR:
```
ReH4NO4
1.0
-0.574 2.173 -5.787
-6.155 0.338 0.737
3.904 4.213 4.525
H Re O N
8 2 8 2
Direct
0.402 0.319 0.895
0.848 0.431 0.605
0.424 0.598 0.105
0.569 0.243 0.395
0.681 0.507 0.105
0.493 0.576 0.895
0.826 0.152 0.395
0.757 0.174 0.605
0.250 0.750 0.500
0.000 0.000 0.000
0.457 0.640 0.672
0.968 0.543 0.328
0.793 0.110 0.828
0.215 0.032 0.672
0.890 0.965 0.172
0.035 0.718 0.828
0.360 0.785 0.328
0.282 0.207 0.172
0.500 0.500 0.000
0.750 0.250 0.500
```

Properties
**Total DFT energy (no corrections)**: -6.701 eV/atom
**Space-group type**: I4_1/a